1.
SrCaBr2 GGA-PBE optimized geometry; ρ = 2.82 Mg/m³; energy above the lowest structure with this stoichiometry = 200 meV/atom; energy relative to the elements, uncorrected = -1.227 eV/atom; total magnetization = 1.6 μB/f.u.
1.0
-3.484 3.484 6.975
3.484 -3.484 6.975
3.484 3.484 -6.975
Sr Ca Br
2 2 4
direct
0.000 0.000 0.000 Sr
0.750 0.250 0.500 Sr
0.250 0.750 0.500 Ca
0.500 0.500 0.000 Ca
0.150 0.625 0.025 Br
0.375 0.400 0.525 Br
0.600 0.125 0.975 Br
0.875 0.850 0.475 Br

---

2.
SrCaBr4 GGA-PBE optimized geometry; ρ = 3.71 Mg/m³; energy relative to the elements, uncorrected = -0.638 eV/atom; total magnetization = 0.0 μB/f.u.
1.0
0.000 4.645 4.645
4.645 0.000 4.645
4.645 4.645 0.000
Sr Ca Br
1 1 4
direct
0.000 0.000 0.000 Sr
0.250 0.250 0.250 Ca
0.125 0.625 0.625 Br
0.625 0.125 0.625 Br
0.625 0.625 0.125 Br
0.625 0.625 0.625 Br

---

3.
SrCa2Br GGA-PBE optimized geometry; ρ = 2.47 Mg/m³; energy above the lowest structure with this stoichiometry = 230 meV/atom; energy relative to the elements, uncorrected = -0.426 eV/atom; total magnetization = 0.0 μB/f.u.
1.0
4.056 0.000 0.000
0.000 5.953 0.000
0.000 0.000 6.884
Sr Ca Br
1 2 1
direct
0.000 0.000 0.000 Sr
0.000 0.500 0.500 Ca
0.500 0.000 0.500 Ca
0.500 0.500 0.000 Br

---

4.
SrCa2Br GGA-PBE optimized geometry; ρ = 2.68 Mg/m³; energy above the lowest structure with this stoichiometry = 85 meV/atom; energy relative to the elements, uncorrected = -0.571 eV/atom; total magnetization = 0.0 μB/f.u.
1.0
3.824 0.000 0.000
0.000 3.824 0.000
0.000 0.000 10.481
Sr Ca Br
1 2 1
direct
0.000 0.000 0.000 Sr
0.500 0.500 0.288 Ca
0.500 0.500 0.712 Ca
0.000 0.000 0.500 Br

---

5.
SrCaBr2 GGA-PBE optimized geometry; ρ = 3.90 Mg/m³; energy above the lowest structure with this stoichiometry = 351 meV/atom; energy relative to the elements, uncorrected = -1.076 eV/atom; total magnetization = 0.9 μB/f.u.
1.0
3.816 -4.189 0.000
3.816 4.189 0.000
0.000 0.000 3.826
Sr Ca Br
1 1 2
direct
0.000 0.000 0.000 Sr
0.500 0.500 0.000 Ca
0.000 0.500 0.500 Br
0.500 0.000 0.500 Br

---

6.
SrCa2Br GGA-PBE optimized geometry; ρ = 2.50 Mg/m³; energy above the lowest structure with this stoichiometry = 263 meV/atom; energy relative to the elements, uncorrected = -0.393 eV/atom; total magnetization = 0.0 μB/f.u.
1.0
3.530 -5.875 0.000
3.530 5.875 0.000
0.000 0.000 3.959
Sr Ca Br
1 2 1
direct
0.000 0.000 0.000 Sr
0.000 0.500 0.500 Ca
0.500 0.000 0.500 Ca
0.500 0.500 0.000 Br